Record 1
MgUGa4Ni2 | PBE | optimized geometry

Lattice parameters (Å, degrees): 3.7885 3.7885 10.0771 90.00 90.00 90.00
Last column: nearest neighbours and their distance in Å.
Element x y z (fractional)
Mg1 0.0000 0.0000 0.0000  8 Ga 2.93
U1 0.0000 0.0000 0.5000  8 Ni 2.93
Ga1 0.0000 0.5000 0.2220  2 Ni 2.50, 4 Ga 2.68
Ga2 0.0000 0.5000 0.7780  2 Ni 2.50, 4 Ga 2.68
Ga3 0.5000 0.0000 0.2220  2 Ni 2.50, 4 Ga 2.68
Ga4 0.5000 0.0000 0.7780  2 Ni 2.50, 4 Ga 2.68
Ni1 0.5000 0.5000 0.3834  1 Ni 2.35, 4 Ga 2.50
Ni2 0.5000 0.5000 0.6166  1 Ni 2.35, 4 Ga 2.50

* V: 18.08 Å³ per atom
* energy of formation from the pure elements: -0.15 eV/atom
* space-group type: No. 123

Record 2
MgV2GaNi | PBE | optimized geometry

Lattice parameters (Å, degrees): 4.4949 4.4949 4.5093 90.00 90.00 90.00
Last column: nearest neighbours and their distance in Å.
Element x y z (fractional)
Mg1 0.0000 0.0000 0.0000  4 V 2.25, 2 Ga 2.25
V1 0.0000 0.5000 0.0000  2 Mg 2.25
V2 0.5000 0.0000 0.0000  2 Mg 2.25
Ga1 0.0000 0.0000 0.5000  2 Mg 2.25
Ni1 0.5000 0.5000 0.5000  4 Ga 3.18, 8 V 3.18

* V: 18.22 Å³ per atom
* energy of formation from the pure elements: 1.78 eV/atom
* space-group type: No. 123

Record 3
YMg2GaNi2 | PBE | optimized geometry

Lattice parameters (Å, degrees): 6.1001 6.1001 6.1001 132.40 132.40 69.60
Last column: nearest neighbours and their distance in Å.
Element x y z (fractional)
Y1 0.0000 0.0000 0.0000  2 Ni 2.74
Mg1 0.2500 0.7500 0.5000  4 Ni 2.47
Mg2 0.7500 0.2500 0.5000  4 Ni 2.47
Ga1 0.5000 0.5000 0.0000  2 Ni 2.27
Ni1 0.2736 0.2736 0.0000  1 Ga 2.27, 4 Mg 2.47
Ni2 0.7264 0.7264 0.0000  1 Ga 2.27, 4 Mg 2.47

* V: 20.24 Å³ per atom
* energy of formation from the pure elements: -0.05 eV/atom
* space-group type: No. 139